Er3Sn: relaxed, PBE-GGA.

Cell: 3.520 5.821 6.449 Å, 116.83 105.84 90.00°
Fractional positions:
Er: 0.732 0.075 0.463
Er: 0.268 0.611 0.537
Er: 0.500 0.476 0.000
Sn: 0.000 0.005 0.000

## Properties
- symmetry = Imm2 (44)
- calculated volume (Å³/atom) = 28.06
- magnetization (Bohr magnetons per cell) = 0.00
- DOS at the Fermi energy (states/eV/cell) = 3.29
- DFT formation energy (eV per atom) = -0.35



Er3Sn: relaxed, PBE-GGA.

Cell: 3.488 5.394 5.940 Å, 90.00 90.00 90.00°
Fractional positions:
Sn: 0.000 0.500 0.328
Er: 0.500 0.000 0.490
Er: 0.500 0.500 0.842
Er: 0.000 0.000 0.007

## Properties
- symmetry = Pmm2 (25)
- calculated volume (Å³/atom) = 27.94
- magnetization (Bohr magnetons per cell) = 0.00
- DOS at the Fermi energy (states/eV/cell) = 3.63
- DFT formation energy (eV per atom) = -0.30



Er5Sn3: relaxed, PBE-GGA.

Cell: 8.882 8.882 6.485 Å, 90.00 90.00 120.00°
Fractional positions:
Er: 0.763 0.763 0.250
Sn: 0.395 0.395 0.250
Sn: 0.000 0.605 0.250
Er: 0.667 0.333 0.000
Sn: 0.395 0.000 0.750
Er: 0.333 0.667 0.000
Er: 0.333 0.667 0.500
Er: 0.667 0.333 0.500
Sn: 0.605 0.605 0.750
Er: 0.237 0.000 0.250
Sn: 0.605 0.000 0.250
Er: 0.000 0.237 0.250
Sn: 0.000 0.395 0.750
Er: 0.237 0.237 0.750
Er: 0.000 0.763 0.750
Er: 0.763 0.000 0.750

## Properties
- symmetry = P6_3/mcm (193)
- calculated volume (Å³/atom) = 27.69
- magnetization (Bohr magnetons per cell) = 0.00
- DOS at the Fermi energy (states/eV/cell) = 8.74
- DFT formation energy (eV per atom) = -0.71



Er5Sn2: relaxed, PBE-GGA.

Cell: 4.535 4.554 19.563 Å, 90.00 96.66 90.00°
Fractional positions:
Er: 0.535 0.250 0.070
Er: 0.036 0.750 0.072
Sn: 0.310 0.250 0.619
Er: 0.176 0.250 0.352
Er: 0.250 0.750 0.500
Er: 0.750 0.250 0.500
Sn: 0.690 0.750 0.381
Sn: 0.904 0.750 0.808
Er: 0.465 0.750 0.930
Er: 0.964 0.250 0.928
Er: 0.824 0.750 0.648
Er: 0.610 0.750 0.220
Sn: 0.096 0.250 0.192
Er: 0.390 0.250 0.780

## Properties
- symmetry = Cmcm (63)
- calculated volume (Å³/atom) = 28.66
- magnetization (Bohr magnetons per cell) = 0.00
- DOS at the Fermi energy (states/eV/cell) = 13.70
- DFT formation energy (eV per atom) = -0.46



SrErSn6: relaxed, PBE-GGA.

Cell: 4.814 4.814 9.450 Å, 90.00 90.00 90.00°
Fractional positions:
Sr: 0.000 0.000 0.000
Sn: 0.000 0.500 0.741
Sn: 0.000 0.500 0.259
Er: 0.000 0.000 0.500
Sn: 0.500 0.000 0.741
Sn: 0.500 0.000 0.259
Sn: 0.500 0.500 0.000
Sn: 0.500 0.500 0.500

## Properties
- symmetry = P4/mmm (123)
- calculated volume (Å³/atom) = 27.37
- magnetization (Bohr magnetons per cell) = 0.00
- DOS at the Fermi energy (states/eV/cell) = 3.04
- DFT formation energy (eV per atom) = -0.40



Sr3ErSn12: relaxed, PBE-GGA.

Cell: 4.815 4.815 19.342 Å, 90.00 90.00 90.00°
Fractional positions:
Sn: 0.500 0.000 0.373
Sn: 0.500 0.000 0.627
Sn: 0.500 0.500 0.500
Sn: 0.000 0.500 0.627
Sr: 0.000 0.000 0.500
Er: 0.000 0.000 0.000
Sn: 0.500 0.000 0.118
Sn: 0.000 0.500 0.373
Sn: 0.500 0.500 0.246
Sr: 0.000 0.000 0.245
Sn: 0.000 0.500 0.118
Sn: 0.500 0.500 0.000
Sn: 0.500 0.000 0.882
Sn: 0.000 0.500 0.882
Sn: 0.500 0.500 0.754
Sr: 0.000 0.000 0.755

## Properties
- symmetry = P4/mmm (123)
- calculated volume (Å³/atom) = 28.03
- magnetization (Bohr magnetons per cell) = 0.00
- DOS at the Fermi energy (states/eV/cell) = 8.54
- DFT formation energy (eV per atom) = -0.39



Number 1: electronic total energy -4.77 eV per atom. Number 2: electronic total energy -4.72 eV per atom. Number 3: electronic total energy -5.07 eV per atom. Number 4: electronic total energy -4.86 eV per atom. Number 5: electronic total energy -4.18 eV per atom. Number 6: electronic total energy -3.99 eV per atom.